1.
Here is a relaxed structure of NaYSnPd from the Open Quantum Materials Database. Energies are from PBE.

Summary:
SG: F-43m (216)

Lattice parameters (Å, degrees): 5.055 5.055 5.055 60.00 60.00 60.00
Atoms (fractional coordinates):
1 Sn 0.500 0.500 0.500
2 Y 0.250 0.250 0.250
3 Na 0.750 0.750 0.750
4 Pd 0.000 0.000 0.000

2.
Here is a relaxed structure of NaYSnPd from the Open Quantum Materials Database. Energies are from PBE.

Summary:
SG: F-43m (216)

Lattice parameters (Å, degrees): 4.897 4.897 4.897 60.00 60.00 60.00
Atoms (fractional coordinates):
1 Pd 0.250 0.250 0.250
2 Na 0.750 0.750 0.750
3 Y 0.000 0.000 0.000
4 Sn 0.500 0.500 0.500

3.
Here is a relaxed structure of NaSrTaPd from the Open Quantum Materials Database. Energies are from PBE.

Summary:
SG: F-43m (216)

Lattice parameters (Å, degrees): 4.923 4.923 4.923 60.00 60.00 60.00
Atoms (fractional coordinates):
1 Pd 0.500 0.500 0.500
2 Na 0.750 0.750 0.750
3 Sr 0.000 0.000 0.000
4 Ta 0.250 0.250 0.250

Number 1: E above lowest polymorph 139 meV/atom. Number 2: E above lowest polymorph 0 meV/atom. Number 3: E above lowest polymorph 32 meV/atom.